Record 1
Cs2PuCl6 PBE optimized geometry; symmetry = P-3m1, No. 164; raw formation energy = -1909.7 meV per atom
1.0
7.604 0.000 0.000
-3.802 6.585 0.000
0.000 0.000 6.300
Cl Cs Pu
6 2 1
direct
0.164 0.836 0.230 Cl
0.836 0.671 0.770 Cl
0.671 0.836 0.230 Cl
0.329 0.164 0.770 Cl
0.164 0.329 0.230 Cl
0.836 0.164 0.770 Cl
0.667 0.333 0.264 Cs
0.333 0.667 0.736 Cs
0.000 0.000 0.000 Pu

Record 2
CsPuCl3 PBE optimized geometry; symmetry = C2/m, No. 12; raw formation energy = -1854.1 meV per atom; E above lowest polymorph = 0 meV per atom
1.0
-2.284 5.786 -2.222
-6.067 -0.467 5.020
6.939 2.872 2.456
Pu Cl Cs
2 6 2
direct
0.000 0.000 0.000 Pu
0.500 0.000 0.000 Pu
0.731 0.662 0.831 Cl
0.269 0.338 0.169 Cl
0.788 0.169 0.339 Cl
0.731 0.169 0.831 Cl
0.212 0.831 0.661 Cl
0.269 0.831 0.169 Cl
0.746 0.664 0.328 Cs
0.254 0.336 0.672 Cs

Record 3
CsPu2Cl4 PBE optimized geometry; symmetry = Cmcm, No. 63; raw formation energy = -1565.0 meV per atom
1.0
4.368 0.000 0.000
-2.184 6.717 0.000
0.000 0.000 14.400
Cl Cs Pu
8 2 4
direct
0.756 0.512 0.110 Cl
0.500 0.000 0.000 Cl
0.756 0.512 0.390 Cl
0.911 0.822 0.750 Cl
0.244 0.488 0.610 Cl
0.244 0.488 0.890 Cl
0.089 0.178 0.250 Cl
0.500 0.000 0.500 Cl
0.394 0.787 0.250 Cs
0.606 0.213 0.750 Cs
0.872 0.743 0.946 Pu
0.128 0.257 0.054 Pu
0.128 0.257 0.446 Pu
0.872 0.743 0.554 Pu

Record 4
Cs2PuCl5 PBE optimized geometry; symmetry = Pnma, No. 62; raw formation energy = -2002.5 meV per atom; E above lowest polymorph = 0 meV per atom
1.0
-5.463 -5.073 -1.857
4.817 -7.050 5.088
-7.962 3.857 12.883
Cl Pu Cs
20 4 8
direct
0.994 0.339 0.115 Cl
0.750 0.970 0.795 Cl
0.494 0.161 0.615 Cl
0.494 0.661 0.885 Cl
0.250 0.784 0.598 Cl
0.250 0.030 0.205 Cl
0.750 0.470 0.705 Cl
0.994 0.839 0.385 Cl
0.500 0.000 0.000 Cl
0.250 0.284 0.902 Cl
0.000 0.500 0.500 Cl
0.006 0.161 0.615 Cl
0.000 0.000 0.000 Cl
0.750 0.716 0.098 Cl
0.506 0.339 0.115 Cl
0.750 0.216 0.402 Cl
0.506 0.839 0.385 Cl
0.250 0.530 0.295 Cl
0.500 0.500 0.500 Cl
0.006 0.661 0.885 Cl
0.750 0.821 0.937 Pu
0.750 0.321 0.563 Pu
0.250 0.679 0.437 Pu
0.250 0.179 0.063 Pu
0.250 0.659 0.083 Cs
0.750 0.025 0.214 Cs
0.250 0.975 0.786 Cs
0.250 0.159 0.417 Cs
0.250 0.475 0.714 Cs
0.750 0.341 0.917 Cs
0.750 0.841 0.583 Cs
0.750 0.525 0.286 Cs

Record 5
Cs3PuCl8 PBE optimized geometry; symmetry = P6_3mc, No. 186; raw formation energy = -1712.4 meV per atom; E above lowest polymorph = 0 meV per atom
1.0
9.454 0.000 0.000
0.000 9.087 -5.246
0.000 0.000 10.492
Cs Pu Cl
6 2 16
direct
0.697 0.151 0.302 Cs
0.197 0.849 0.698 Cs
0.197 0.302 0.151 Cs
0.697 0.151 0.849 Cs
0.697 0.698 0.849 Cs
0.197 0.849 0.151 Cs
0.154 0.333 0.667 Pu
0.654 0.667 0.333 Pu
0.806 0.783 0.217 Cl
0.306 0.217 0.783 Cl
0.652 0.333 0.667 Cl
0.002 0.448 0.896 Cl
0.806 0.434 0.217 Cl
0.152 0.667 0.333 Cl
0.954 0.000 0.000 Cl
0.502 0.552 0.448 Cl
0.502 0.896 0.448 Cl
0.306 0.217 0.434 Cl
0.454 0.000 0.000 Cl
0.306 0.566 0.783 Cl
0.502 0.552 0.104 Cl
0.002 0.104 0.552 Cl
0.002 0.448 0.552 Cl
0.806 0.783 0.566 Cl

Record 6
Cs3Pu6Cl20 PBE optimized geometry; symmetry = Fm-3m, No. 225; raw formation energy = -1905.6 meV per atom
1.0
-7.611 4.727 5.215
-9.829 -0.991 -3.143
-6.694 -5.591 5.603
Cs Cl Pu
3 20 6
direct
0.000 0.000 0.000 Cs
0.750 0.750 0.750 Cs
0.250 0.250 0.250 Cs
0.387 0.387 0.840 Cl
0.000 0.335 0.665 Cl
0.613 0.160 0.613 Cl
0.335 0.000 0.000 Cl
0.387 0.387 0.387 Cl
0.335 0.000 0.665 Cl
0.665 0.000 0.335 Cl
0.000 0.000 0.665 Cl
0.665 0.335 0.000 Cl
0.000 0.335 0.000 Cl
0.000 0.665 0.335 Cl
0.613 0.613 0.613 Cl
0.665 0.000 0.000 Cl
0.613 0.613 0.160 Cl
0.840 0.387 0.387 Cl
0.160 0.613 0.613 Cl
0.387 0.840 0.387 Cl
0.000 0.000 0.335 Cl
0.000 0.665 0.000 Cl
0.335 0.665 0.000 Cl
0.267 0.733 0.267 Pu
0.733 0.267 0.267 Pu
0.267 0.733 0.733 Pu
0.733 0.267 0.733 Pu
0.733 0.733 0.267 Pu
0.267 0.267 0.733 Pu